No. 1
! Cr3PdS, single point on PBEsol structure, DFT meta-GGA SCAN; values from VASP
&SYSTEM
  ibrav = 0, nat = 5, ntyp = 3
/
ATOMIC_SPECIES
Cr 52.00 Cr.upf
Pd 106.42 Pd.upf
S 32.06 S.upf
CELL_PARAMETERS angstrom
4.764 0.000 0.000
0.000 4.764 0.000
0.000 0.000 4.764
ATOMIC_POSITIONS angstrom
Cr 2.382 0.000 0.000
Cr 0.000 2.382 0.000
Cr 0.000 0.000 2.382
Pd 0.000 0.000 0.000
S 2.382 2.382 2.382
! DFT total energy: -18.63 eV per atom
! Formation energy without anion corrections: 0.883 eV per atom
! Size of the total moment: 2.738 μB per atom

No. 2
! CrSb3Pd, single point on PBEsol structure, DFT meta-GGA SCAN; values from VASP
&SYSTEM
  ibrav = 0, nat = 5, ntyp = 3
/
ATOMIC_SPECIES
Sb 121.76 Sb.upf
Pd 106.42 Pd.upf
Cr 52.00 Cr.upf
CELL_PARAMETERS angstrom
-2.979 -4.140 -0.627
3.914 -2.479 -2.224
1.490 -1.767 4.590
ATOMIC_POSITIONS angstrom
Sb -1.490 -2.070 -0.313
Sb 1.957 -1.240 -1.112
Sb 0.745 -0.883 2.295
Pd 0.000 0.000 0.000
Cr 1.212 -4.193 0.870
! DFT total energy: -32.03 eV per atom
! Formation energy without anion corrections: 0.555 eV per atom
! Size of the total moment: 0.850 μB per atom

No. 3
! CrSb2Pd, single point on PBEsol structure, DFT meta-GGA SCAN; values from VASP
&SYSTEM
  ibrav = 0, nat = 8, ntyp = 3
/
ATOMIC_SPECIES
Pd 106.42 Pd.upf
Cr 52.00 Cr.upf
Sb 121.76 Sb.upf
CELL_PARAMETERS angstrom
-3.524 2.587 0.923
0.086 -1.397 4.243
6.980 5.850 -0.567
ATOMIC_POSITIONS angstrom
Pd 0.000 0.000 0.000
Pd 2.673 2.524 3.130
Cr 0.868 4.516 1.470
Cr -1.719 0.595 2.583
Sb 0.519 1.195 3.912
Sb 3.086 5.123 2.828
Sb 4.805 4.544 0.196
Sb -1.327 3.218 2.263
! DFT total energy: -31.48 eV per atom
! Formation energy without anion corrections: -0.055 eV per atom
! Size of the total moment: 0.924 μB per atom